# Ti2NbH4, optimized geometry, DFT PBE-GGA
# Calculated total energy (eV/cell): -83.44
# Crystal system: cubic
# Symmetry: Fd-3m
data_Ti2NbH4
_chemical_formula_sum 'Ti4 Nb2 H8'
_space_group_name_H-M_alt 'P 1'
_space_group_IT_number 1
_cell_length_a 5.6128
_cell_length_b 5.6128
_cell_length_c 5.6128
_cell_angle_alpha 60.00
_cell_angle_beta 60.00
_cell_angle_gamma 60.00
loop_
_space_group_symop_operation_xyz
'x,y,z'
loop_
_atom_site_label
_atom_site_type_symbol
_atom_site_fract_x
_atom_site_fract_y
_atom_site_fract_z
Ti1 Ti 0.0000 0.0000 0.0000
Ti2 Ti 0.0000 0.0000 0.5000
Ti3 Ti 0.0000 0.5000 0.0000
Ti4 Ti 0.5000 0.0000 0.0000
Nb1 Nb 0.3750 0.3750 0.3750
Nb2 Nb 0.6250 0.6250 0.6250
H1 H 0.2079 0.7640 0.7640
H2 H 0.2360 0.2360 0.2360
H3 H 0.2360 0.2360 0.7921
H4 H 0.2360 0.7921 0.2360
H5 H 0.7640 0.2079 0.7640
H6 H 0.7640 0.7640 0.2079
H7 H 0.7640 0.7640 0.7640
H8 H 0.7921 0.2360 0.2360